1.
# FeRu2Pt, optimized geometry, DFT PBE
# electronic total energy	-8.2038	eV/atom
# total magnetization	5.207	Bohr magnetons per cell
# DFT formation energy	60	meV/atom
data_FeRu2Pt
_symmetry_space_group_name_H-M 'I 4/m m m'
_symmetry_Int_Tables_number 139
_symmetry_space_group_name_Hall '-I 4 2'
_cell_length_a 3.808
_cell_length_b 3.808
_cell_length_c 7.666
_cell_angle_alpha 90.00
_cell_angle_beta 90.00
_cell_angle_gamma 90.00
loop_
_atom_site_label
_atom_site_fract_x
_atom_site_fract_y
_atom_site_fract_z
_atom_site_occupancy
Fe1 0.000 0.000 0.000 1
Ru1 0.000 0.500 0.250 1
Pt1 0.000 0.000 0.500 1

2.
# Hf3NbCd, optimized geometry, DFT PBE
# electronic total energy	-6.6249	eV/atom
# total magnetization	2.868	Bohr magnetons per cell
# energy above the most stable polymorph in this dataset	582.7	meV/atom
# DFT formation energy	1544	meV/atom
data_Hf3NbCd
_symmetry_space_group_name_H-M 'P m -3 m'
_symmetry_Int_Tables_number 221
_symmetry_space_group_name_Hall '-P 4 2 3'
_cell_length_a 5.106
_cell_length_b 5.106
_cell_length_c 5.106
_cell_angle_alpha 90.00
_cell_angle_beta 90.00
_cell_angle_gamma 90.00
loop_
_atom_site_label
_atom_site_fract_x
_atom_site_fract_y
_atom_site_fract_z
_atom_site_occupancy
Hf1 0.000 0.000 0.500 1
Nb1 0.500 0.500 0.500 1
Cd1 0.000 0.000 0.000 1

3.
# Al2RhSe, optimized geometry, DFT PBE
# electronic total energy	-4.8178	eV/atom
# total magnetization	0.000	Bohr magnetons per cell
# ΔE_f (raw)	-238	meV per atom
data_Al2RhSe
_symmetry_space_group_name_H-M 'P 1 2/m 1'
_symmetry_Int_Tables_number 10
_cell_length_a 4.168
_cell_length_b 3.322
_cell_length_c 5.236
_cell_angle_alpha 90.00
_cell_angle_beta 113.05
_cell_angle_gamma 90.00
loop_
_symmetry_equiv_pos_as_xyz
'x,y,z'
'-x,-y,-z'
'-x,y,-z'
'x,-y,z'
loop_
_atom_site_label
_atom_site_fract_x
_atom_site_fract_y
_atom_site_fract_z
_atom_site_occupancy
Al1 0.000 0.000 0.000 1
Al2 0.500 0.500 0.500 1
Rh1 0.000 0.000 0.500 1
Se1 0.500 0.500 0.000 1

4.
# TcIr3Ru2, optimized geometry, DFT PBE
# electronic total energy	-9.3281	eV/atom
# total magnetization	0.000	Bohr magnetons per cell
# energy above the most stable polymorph in this dataset	0.0	meV/atom
# DFT formation energy	-78	meV/atom
data_TcIr3Ru2
_symmetry_space_group_name_H-M 'P 1 21/m 1'
_symmetry_Int_Tables_number 11
_cell_length_a 5.437
_cell_length_b 3.853
_cell_length_c 8.190
_cell_angle_alpha 90.00
_cell_angle_beta 90.20
_cell_angle_gamma 90.00
loop_
_symmetry_equiv_pos_as_xyz
'x,y,z'
'-x,-y,-z'
'-x,y+1/2,-z'
'x,-y+1/2,z'
loop_
_atom_site_label
_atom_site_fract_x
_atom_site_fract_y
_atom_site_fract_z
_atom_site_occupancy
Tc1 0.129 0.250 0.249 1
Ir1 0.125 0.250 0.583 1
Ir2 0.370 0.750 0.088 1
Ir3 0.375 0.750 0.748 1
Ru1 0.123 0.250 0.919 1
Ru2 0.373 0.750 0.413 1

5.
# Rb2PmYTe4, optimized geometry, DFT PBE
# electronic total energy	-4.6167	eV/atom
# total magnetization	0.000	Bohr magnetons per cell
# ΔE_f (raw)	-1402	meV per atom
data_Rb2PmYTe4
_symmetry_space_group_name_H-M 'P 1 2/m 1'
_symmetry_Int_Tables_number 10
_cell_length_a 7.925
_cell_length_b 4.577
_cell_length_c 8.958
_cell_angle_alpha 90.00
_cell_angle_beta 107.15
_cell_angle_gamma 90.00
loop_
_symmetry_equiv_pos_as_xyz
'x,y,z'
'-x,-y,-z'
'-x,y,-z'
'x,-y,z'
loop_
_atom_site_label
_atom_site_fract_x
_atom_site_fract_y
_atom_site_fract_z
_atom_site_occupancy
Rb1 0.000 0.000 0.000 1
Rb2 0.500 0.500 0.000 1
Pm1 0.000 0.500 0.500 1
Y1 0.500 0.000 0.500 1
Te1 0.239 0.000 0.703 1
Te2 0.271 0.500 0.299 1

6.
# TaCd, optimized geometry, DFT PBE
# electronic total energy	-5.3403	eV/atom
# total magnetization	0.000	Bohr magnetons per cell
# DFT formation energy	1044	meV/atom
data_TaCd
_symmetry_space_group_name_H-M 'P 42/m n m'
_symmetry_Int_Tables_number 136
_symmetry_space_group_name_Hall '-P 4n 2n'
_cell_length_a 5.510
_cell_length_b 5.510
_cell_length_c 5.712
_cell_angle_alpha 90.00
_cell_angle_beta 90.00
_cell_angle_gamma 90.00
loop_
_atom_site_label
_atom_site_fract_x
_atom_site_fract_y
_atom_site_fract_z
_atom_site_occupancy
Ta1 0.169 0.169 0.000 1
Cd1 0.179 0.179 0.500 1

7.
# CsK2CaPd, optimized geometry, DFT PBE
# electronic total energy	-2.0432	eV/atom
# total magnetization	0.000	Bohr magnetons per cell
# DFT formation energy	5	meV/atom
data_CsK2CaPd
_symmetry_space_group_name_H-M 'P 4/m m m'
_symmetry_Int_Tables_number 123
_symmetry_space_group_name_Hall '-P 4 2'
_cell_length_a 6.748
_cell_length_b 6.748
_cell_length_c 5.661
_cell_angle_alpha 90.00
_cell_angle_beta 90.00
_cell_angle_gamma 90.00
loop_
_atom_site_label
_atom_site_fract_x
_atom_site_fract_y
_atom_site_fract_z
_atom_site_occupancy
Cs1 0.000 0.000 0.000 1
K1 0.000 0.500 0.500 1
Ca1 0.500 0.500 0.000 1
Pd1 0.500 0.500 0.500 1

8.
# SrTbDy2, optimized geometry, DFT PBE
# electronic total energy	-3.7556	eV/atom
# total magnetization	0.001	Bohr magnetons per cell
# energy above the most stable polymorph in this dataset	0.0	meV/atom
# DFT formation energy	123	meV/atom
data_SrTbDy2
_symmetry_space_group_name_H-M 'P 4/m m m'
_symmetry_Int_Tables_number 123
_symmetry_space_group_name_Hall '-P 4 2'
_cell_length_a 3.676
_cell_length_b 3.676
_cell_length_c 10.575
_cell_angle_alpha 90.00
_cell_angle_beta 90.00
_cell_angle_gamma 90.00
loop_
_atom_site_label
_atom_site_fract_x
_atom_site_fract_y
_atom_site_fract_z
_atom_site_occupancy
Sr1 0.000 0.000 0.000 1
Tb1 0.000 0.000 0.500 1
Dy1 0.500 0.500 0.279 1

9.
# ZnH2OsO6, optimized geometry, DFT PBE
# electronic total energy	-5.8221	eV/atom
# total magnetization	0.000	Bohr magnetons per cell
data_ZnH2OsO6
_symmetry_space_group_name_H-M 'P 1 21/c 1'
_symmetry_Int_Tables_number 14
_cell_length_a 5.142
_cell_length_b 5.501
_cell_length_c 8.872
_cell_angle_alpha 90.00
_cell_angle_beta 122.86
_cell_angle_gamma 90.00
loop_
_symmetry_equiv_pos_as_xyz
'x,y,z'
'-x,-y,-z'
'-x,y+1/2,-z+1/2'
'x,-y+1/2,z+1/2'
loop_
_atom_site_label
_atom_site_fract_x
_atom_site_fract_y
_atom_site_fract_z
_atom_site_occupancy
Zn1 0.000 0.000 0.000 1
H1 0.479 0.196 0.784 1
Os1 0.500 0.000 0.500 1
O1 0.153 0.517 0.779 1
O2 0.298 0.194 0.577 1
O3 0.383 0.706 0.578 1

10.
# Rb6SeSI2, optimized geometry, DFT PBE
# electronic total energy	-2.7968	eV/atom
# total magnetization	0.000	Bohr magnetons per cell
# ΔE_f (raw)	-1145	meV per atom
data_Rb6SeSI2
_symmetry_space_group_name_H-M 'P m m n'
_symmetry_Int_Tables_number 59
_cell_length_a 9.019
_cell_length_b 12.926
_cell_length_c 9.438
_cell_angle_alpha 90.00
_cell_angle_beta 90.00
_cell_angle_gamma 90.00
loop_
_symmetry_equiv_pos_as_xyz
'x,y,z'
'-x,-y,-z'
'-x+1/2,-y+1/2,z'
'x+1/2,y+1/2,-z'
'x+1/2,-y,-z'
'-x+1/2,y,z'
'-x,y+1/2,-z'
'x,-y+1/2,z'
loop_
_atom_site_label
_atom_site_fract_x
_atom_site_fract_y
_atom_site_fract_z
_atom_site_occupancy
Rb1 0.004 0.250 0.019 1
Rb2 0.031 0.250 0.571 1
Rb3 0.250 0.502 0.209 1
Se1 0.250 0.250 0.288 1
S1 0.250 0.750 0.224 1
I1 0.250 0.049 0.814 1

11.
# Rb3Sn4Ge2, optimized geometry, DFT PBE
# electronic total energy	-3.2329	eV/atom
# total magnetization	0.000	Bohr magnetons per cell
# energy above the most stable polymorph in this dataset	3.8	meV/atom
# DFT formation energy	-105	meV/atom
data_Rb3Sn4Ge2
_symmetry_space_group_name_H-M 'C 1 2/c 1'
_symmetry_Int_Tables_number 15
_cell_length_a 17.265
_cell_length_b 11.694
_cell_length_c 7.139
_cell_angle_alpha 90.00
_cell_angle_beta 113.28
_cell_angle_gamma 90.00
loop_
_symmetry_equiv_pos_as_xyz
'x,y,z'
'-x,-y,-z'
'-x,y,-z+1/2'
'x,-y,z+1/2'
'x+1/2,y+1/2,z'
'-x+1/2,-y+1/2,-z'
'-x+1/2,y+1/2,-z+1/2'
'x+1/2,-y+1/2,z+1/2'
loop_
_atom_site_label
_atom_site_fract_x
_atom_site_fract_y
_atom_site_fract_z
_atom_site_occupancy
Rb1 0.000 0.067 0.250 1
Rb2 0.106 0.384 0.095 1
Sn1 0.145 0.283 0.638 1
Sn2 0.201 0.111 0.028 1
Ge1 0.218 0.123 0.439 1

12.
# Ce4GeTe2Se, optimized geometry, DFT PBE
# electronic total energy	-6.1154	eV/atom
# total magnetization	3.934	Bohr magnetons per cell
# ΔE_f (raw)	-1350	meV per atom
data_Ce4GeTe2Se
_symmetry_space_group_name_H-M 'P 1 2/m 1'
_symmetry_Int_Tables_number 10
_cell_length_a 7.482
_cell_length_b 4.340
_cell_length_c 7.666
_cell_angle_alpha 90.00
_cell_angle_beta 109.17
_cell_angle_gamma 90.00
loop_
_symmetry_equiv_pos_as_xyz
'x,y,z'
'-x,-y,-z'
'-x,y,-z'
'x,-y,z'
loop_
_atom_site_label
_atom_site_fract_x
_atom_site_fract_y
_atom_site_fract_z
_atom_site_occupancy
Ce1 0.240 0.000 0.227 1
Ce2 0.255 0.500 0.773 1
Ge1 0.000 0.500 0.000 1
Te1 0.000 0.000 0.500 1
Te2 0.500 0.500 0.500 1
Se1 0.500 0.000 0.000 1